# 1
This record from Alexandria via LeMat-Bulk describes an optimized crystal structure of Rb3SrW2O8. The functional is GGA+U.

Properties
Total moment   0.98 μB/f.u.
Symmetry   P-3m1, No. 164
E   -87.424 eV per formula unit
V   20.85 A^3/atom

```
Rb3SrW2O8
1.0
6.428 0.000 0.000
-3.214 5.567 0.000
0.000 0.000 8.157
Rb Sr W O
3 1 2 8
Direct
0.000 0.000 0.000 Rb
0.333 0.667 0.674 Rb
0.667 0.333 0.326 Rb
0.000 0.000 0.500 Sr
0.333 0.667 0.226 W
0.667 0.333 0.774 W
0.178 0.356 0.312 O
0.178 0.822 0.312 O
0.333 0.667 0.004 O
0.356 0.178 0.688 O
0.644 0.822 0.312 O
0.667 0.333 0.996 O
0.822 0.178 0.688 O
0.822 0.644 0.688 O
```

=====

# 2
This record from Alexandria via LeMat-Bulk describes an optimized crystal structure of RbSr2WO6. The functional is GGA+U.

Properties
Total moment   1.06 μB/f.u.
Symmetry   P2_1/c, No. 14
E   -63.828 eV per formula unit
V   17.37 A^3/atom

```
RbSr2WO6
1.0
5.944 0.000 0.000
0.000 6.512 0.000
-5.806 0.000 8.974
Rb Sr W O
2 4 2 12
Direct
0.000 0.000 0.000 Rb
0.000 0.500 0.500 Rb
0.212 0.026 0.717 Sr
0.212 0.474 0.217 Sr
0.788 0.526 0.783 Sr
0.788 0.974 0.283 Sr
0.500 0.000 0.500 W
0.500 0.500 0.000 W
0.199 0.143 0.484 O
0.199 0.357 0.984 O
0.249 0.721 0.877 O
0.249 0.779 0.377 O
0.439 0.135 0.320 O
0.439 0.365 0.820 O
0.561 0.635 0.180 O
0.561 0.865 0.680 O
0.751 0.221 0.623 O
0.751 0.279 0.123 O
0.801 0.643 0.016 O
0.801 0.857 0.516 O
```

=====

- Which value of E does entry 2 give?
  -63.828 eV per formula unit